# 1
# PBE Sc2FeIr9, optimized geometry
# VASP energy ... -8.82 eV/atom
# D(E_F) ... 13.69 states/eV/cell
# E_form ... -0.417 eV per atom
# Calculated volume ... 179 Å³ per cell
data_Sc2FeIr9
_chemical_formula_sum 'Sc2 Fe1 Ir9'
_space_group_name_H-M_alt 'P 4/m m m'
_space_group_IT_number 123
_space_group_name_Hall '-P 4 2'
_cell_length_a 3.898
_cell_length_b 3.898
_cell_length_c 11.779
_cell_angle_alpha 90.00
_cell_angle_beta 90.00
_cell_angle_gamma 90.00
loop_
_atom_site_label
_atom_site_type_symbol
_atom_site_fract_x
_atom_site_fract_y
_atom_site_fract_z
Sc1 Sc 0.000 0.000 0.169
Fe1 Fe 0.000 0.000 0.500
Ir1 Ir 0.000 0.500 0.000
Ir2 Ir 0.000 0.500 0.342
Ir3 Ir 0.500 0.500 0.169
Ir4 Ir 0.500 0.500 0.500



# 2
# PBE ZrBe2Ni5, optimized geometry
# VASP energy ... -5.94 eV/atom
# D(E_F) ... 10.87 states/eV/cell
# E_form ... -0.322 eV per atom
# Calculated volume ... 184 Å³ per cell
data_ZrBe2Ni5
_chemical_formula_sum 'Zr2 Be4 Ni10'
_space_group_name_H-M_alt 'I m m m'
_space_group_IT_number 71
_space_group_name_Hall '-I 2 2'
_cell_length_a 3.452
_cell_length_b 6.257
_cell_length_c 8.507
_cell_angle_alpha 90.00
_cell_angle_beta 90.00
_cell_angle_gamma 90.00
loop_
_atom_site_label
_atom_site_type_symbol
_atom_site_fract_x
_atom_site_fract_y
_atom_site_fract_z
Zr1 Zr 0.000 0.000 0.000
Be1 Be 0.000 0.500 0.245
Ni1 Ni 0.000 0.194 0.353
Ni2 Ni 0.000 0.500 0.000



# 3
# PBE HfTi3Zn, optimized geometry
# VASP energy ... -6.97 eV/atom
# D(E_F) ... 14.37 states/eV/cell
# E_form ... 0.017 eV per atom
# E above lowest polymorph ... 0.00 kcal/mol of atoms
# Calculated volume ... 180 Å³ per cell
data_HfTi3Zn
_chemical_formula_sum 'Hf2 Ti6 Zn2'
_space_group_name_H-M_alt 'I m m 2'
_space_group_IT_number 44
_cell_length_a 3.043
_cell_length_b 4.560
_cell_length_c 12.980
_cell_angle_alpha 90.00
_cell_angle_beta 90.00
_cell_angle_gamma 90.00
loop_
_space_group_symop_operation_xyz
'x,y,z'
'-x,-y,z'
'-x,y,z'
'x,-y,z'
'x+1/2,y+1/2,z+1/2'
'-x+1/2,-y+1/2,z+1/2'
'-x+1/2,y+1/2,z+1/2'
'x+1/2,-y+1/2,z+1/2'
loop_
_atom_site_label
_atom_site_type_symbol
_atom_site_fract_x
_atom_site_fract_y
_atom_site_fract_z
Hf1 Hf 0.000 0.000 0.000
Ti1 Ti 0.000 0.000 0.603
Ti2 Ti 0.000 0.500 0.285
Ti3 Ti 0.000 0.500 0.713
Zn1 Zn 0.000 0.000 0.399



# 4
# PBE Tm2PaPtO8, optimized geometry
# VASP energy ... -7.98 eV/atom
# D(E_F) ... 12.74 states/eV/cell
# Formation energy from raw total energies ... -254.50 kJ/mol of atoms
# Calculated volume ... 336 Å³ per cell
data_Tm2PaPtO8
_chemical_formula_sum 'Tm4 Pa2 Pt2 O16'
_space_group_name_H-M_alt 'C m m m'
_space_group_IT_number 65
_space_group_name_Hall '-C 2 2'
_cell_length_a 6.973
_cell_length_b 7.141
_cell_length_c 6.748
_cell_angle_alpha 90.00
_cell_angle_beta 90.00
_cell_angle_gamma 90.00
loop_
_atom_site_label
_atom_site_type_symbol
_atom_site_fract_x
_atom_site_fract_y
_atom_site_fract_z
Tm1 Tm 0.000 0.000 0.242
Pa1 Pa 0.000 0.500 0.500
Pt1 Pt 0.000 0.500 0.000
O1 O 0.000 0.315 0.232
O2 O 0.197 0.000 0.500
O3 O 0.216 0.000 0.000



# 5
# PBE Pr2TmSc4, optimized geometry
# VASP energy ... -5.53 eV/atom
# D(E_F) ... 24.00 states/eV/cell
# E_form ... 0.088 eV per atom
# Calculated volume ... 400 Å³ per cell
data_Pr2TmSc4
_chemical_formula_sum 'Pr4 Tm2 Sc8'
_space_group_name_H-M_alt 'P 1'
_space_group_IT_number 1
_cell_length_a 5.560
_cell_length_b 8.464
_cell_length_c 9.443
_cell_angle_alpha 80.85
_cell_angle_beta 72.91
_cell_angle_gamma 70.86
loop_
_space_group_symop_operation_xyz
'x,y,z'
loop_
_atom_site_label
_atom_site_type_symbol
_atom_site_fract_x
_atom_site_fract_y
_atom_site_fract_z
Pr1 Pr 0.000 0.000 0.000
Pr2 Pr 0.157 0.934 0.625
Pr3 Pr 0.398 0.501 0.500
Pr4 Pr 0.713 0.069 0.375
Tm1 Tm 0.291 0.557 0.877
Tm2 Tm 0.728 0.445 0.122
Sc1 Sc 0.026 0.307 0.432
Sc2 Sc 0.076 0.632 0.230
Sc3 Sc 0.345 0.220 0.104
Sc4 Sc 0.451 0.841 0.250
Sc5 Sc 0.536 0.160 0.750
Sc6 Sc 0.666 0.781 0.895
Sc7 Sc 0.765 0.696 0.565
Sc8 Sc 0.934 0.369 0.769



# 6
# PBE KTl2Au, optimized geometry
# VASP energy ... -2.32 eV/atom
# D(E_F) ... 3.63 states/eV/cell
# E_form ... -0.039 eV per atom
# Calculated volume ... 225 Å³ per cell
data_KTl2Au
_chemical_formula_sum 'K2 Tl4 Au2'
_space_group_name_H-M_alt 'I 4/m m m'
_space_group_IT_number 139
_space_group_name_Hall '-I 4 2'
_cell_length_a 5.054
_cell_length_b 5.054
_cell_length_c 8.791
_cell_angle_alpha 90.00
_cell_angle_beta 90.00
_cell_angle_gamma 90.00
loop_
_atom_site_label
_atom_site_type_symbol
_atom_site_fract_x
_atom_site_fract_y
_atom_site_fract_z
K1 K 0.000 0.000 0.000
Tl1 Tl 0.000 0.500 0.250
Au1 Au 0.000 0.000 0.500



# 7
# PBE TeMoWSe2S, optimized geometry
# VASP energy ... -6.85 eV/atom
# D(E_F) ... 0.72 states/eV/cell
# Formation energy from raw total energies ... -49.30 kJ/mol of atoms
# E above lowest polymorph ... 0.82 kcal/mol of atoms
# Calculated volume ... 285 Å³ per cell
data_TeMoWSe2S
_chemical_formula_sum 'Te2 Mo2 W2 Se4 S2'
_space_group_name_H-M_alt 'P 3 m 1'
_space_group_IT_number 156
_cell_length_a 3.3444
_cell_length_b 3.3444
_cell_length_c 29.4330
_cell_angle_alpha 90.00
_cell_angle_beta 90.00
_cell_angle_gamma 120.00
loop_
_space_group_symop_operation_xyz
'x,y,z'
'-y,x-y,z'
'-x+y,-x,z'
'-y,-x,z'
'-x+y,y,z'
'x,x-y,z'
loop_
_atom_site_label
_atom_site_type_symbol
_atom_site_fract_x
_atom_site_fract_y
_atom_site_fract_z
Te1 Te 0.0000 0.0000 0.0000
Te2 Te 0.0000 0.0000 0.1298
Mo1 Mo 0.0000 0.0000 0.3206
Mo2 Mo 0.3333 0.6667 0.5647
W1 W 0.0000 0.0000 0.8069
W2 W 0.3333 0.6667 0.0649
Se1 Se 0.3333 0.6667 0.2640
Se2 Se 0.3333 0.6667 0.3773
Se3 Se 0.3333 0.6667 0.7500
Se4 Se 0.3333 0.6667 0.8638
S1 S 0.0000 0.0000 0.5132
S2 S 0.0000 0.0000 0.6162



# 8
# PBE LaCdOs2, optimized geometry
# VASP energy ... -6.68 eV/atom
# D(E_F) ... 9.65 states/eV/cell
# E_form ... 0.397 eV per atom
# Calculated volume ... 161 Å³ per cell
data_LaCdOs2
_chemical_formula_sum 'La2 Cd2 Os4'
_space_group_name_H-M_alt 'C 1 m 1'
_space_group_IT_number 8
_cell_length_a 11.032
_cell_length_b 2.984
_cell_length_c 5.277
_cell_angle_alpha 90.00
_cell_angle_beta 112.24
_cell_angle_gamma 90.00
loop_
_space_group_symop_operation_xyz
'x,y,z'
'x,-y,z'
'x+1/2,y+1/2,z'
'x+1/2,-y+1/2,z'
loop_
_atom_site_label
_atom_site_type_symbol
_atom_site_fract_x
_atom_site_fract_y
_atom_site_fract_z
La1 La 0.000 0.000 0.000
Cd1 Cd 0.202 0.000 0.633
Os1 Os 0.266 0.500 0.155
Os2 Os 0.448 0.000 0.476



# 9
# PBE BaCeSc4S8, optimized geometry
# VASP energy ... -6.53 eV/atom
# D(E_F) ... 35.07 states/eV/cell
# Formation energy from raw total energies ... -173.84 kJ/mol of atoms
# Calculated volume ... 1080 Å³ per cell
data_BaCeSc4S8
_chemical_formula_sum 'Ba3 Ce3 Sc12 S24'
_space_group_name_H-M_alt 'R 3 m'
_space_group_IT_number 160
_space_group_name_Hall 'R 3 -2"'
_cell_length_a 7.8620
_cell_length_b 7.8620
_cell_length_c 20.1775
_cell_angle_alpha 90.00
_cell_angle_beta 90.00
_cell_angle_gamma 120.00
loop_
_atom_site_label
_atom_site_type_symbol
_atom_site_fract_x
_atom_site_fract_y
_atom_site_fract_z
Ba1 Ba 0.0000 0.0000 0.0000
Ce1 Ce 0.0000 0.0000 0.6334
Sc1 Sc 0.0000 0.0000 0.2575
Sc2 Sc 0.1679 0.3357 0.4647
S1 S 0.0000 0.0000 0.3884
S2 S 0.0000 0.0000 0.8586
S3 S 0.0429 0.5215 0.3963
S4 S 0.1700 0.3401 0.2088



# 10
# PBE Pm2TlPtO5, optimized geometry
# VASP energy ... -6.81 eV/atom
# D(E_F) ... 12.32 states/eV/cell
# Formation energy from raw total energies ... -199.55 kJ/mol of atoms
# Calculated volume ... 276 Å³ per cell
data_Pm2TlPtO5
_chemical_formula_sum 'Pm4 Tl2 Pt2 O10'
_space_group_name_H-M_alt 'P 4/m b m'
_space_group_IT_number 127
_space_group_name_Hall '-P 4 2ab'
_cell_length_a 6.855
_cell_length_b 6.855
_cell_length_c 5.881
_cell_angle_alpha 90.00
_cell_angle_beta 90.00
_cell_angle_gamma 90.00
loop_
_atom_site_label
_atom_site_type_symbol
_atom_site_fract_x
_atom_site_fract_y
_atom_site_fract_z
Pm1 Pm 0.176 0.324 0.000
Tl1 Tl 0.000 0.000 0.500
Pt1 Pt 0.000 0.500 0.500
O1 O 0.000 0.000 0.000
O2 O 0.132 0.632 0.239



# 11
# PBE GdCu2Rh, optimized geometry
# VASP energy ... -7.71 eV/atom
# D(E_F) ... 1.25 states/eV/cell
# E_form ... -0.300 eV per atom
# E above lowest polymorph ... 0.00 kcal/mol of atoms
# Calculated volume ... 66 Å³ per cell
data_GdCu2Rh
_chemical_formula_sum 'Gd1 Cu2 Rh1'
_space_group_name_H-M_alt 'P 4/m m m'
_space_group_IT_number 123
_space_group_name_Hall '-P 4 2'
_cell_length_a 3.976
_cell_length_b 3.976
_cell_length_c 4.165
_cell_angle_alpha 90.00
_cell_angle_beta 90.00
_cell_angle_gamma 90.00
loop_
_atom_site_label
_atom_site_type_symbol
_atom_site_fract_x
_atom_site_fract_y
_atom_site_fract_z
Gd1 Gd 0.000 0.000 0.000
Cu1 Cu 0.000 0.500 0.500
Rh1 Rh 0.500 0.500 0.000



# 12
# PBE CeTiNb2, optimized geometry
# VASP energy ... -8.28 eV/atom
# D(E_F) ... 7.43 states/eV/cell
# E_form ... 0.209 eV per atom
# Calculated volume ... 80 Å³ per cell
data_CeTiNb2
_chemical_formula_sum 'Ce1 Ti1 Nb2'
_space_group_name_H-M_alt 'P 4/m m m'
_space_group_IT_number 123
_space_group_name_Hall '-P 4 2'
_cell_length_a 3.351
_cell_length_b 3.351
_cell_length_c 7.127
_cell_angle_alpha 90.00
_cell_angle_beta 90.00
_cell_angle_gamma 90.00
loop_
_atom_site_label
_atom_site_type_symbol
_atom_site_fract_x
_atom_site_fract_y
_atom_site_fract_z
Ce1 Ce 0.000 0.000 0.000
Ti1 Ti 0.000 0.000 0.500
Nb1 Nb 0.500 0.500 0.282